CrNiPO2 | GGA+U | relaxed

Relative energy among the computed polymorphs (meV per atom): 0

CIF file:
```
data_CrNiPO2
_chemical_formula_sum 'Cr1 Ni1 P1 O2'
_cell_length_a 3.583
_cell_length_b 3.583
_cell_length_c 5.289
_cell_angle_alpha 90.00
_cell_angle_beta 90.00
_cell_angle_gamma 90.00
_symmetry_space_group_name_H-M 'P 4/m m m'
_symmetry_Int_Tables_number 123
_symmetry_space_group_name_Hall '-P 4 2'
loop_
_atom_site_label
_atom_site_fract_x
_atom_site_fract_y
_atom_site_fract_z
Cr1 0.000 0.000 0.000
Ni1 0.500 0.500 0.500
P1 0.000 0.000 0.500
O1 0.000 0.500 0.000
```